{
  "formula": "ZrAlAuC",
  "functional": "PBE",
  "state": "relaxed",
  "energy_ev_per_atom": -6.465,
  "volume_a3_per_cell": 122.9,
  "relative_energy_mev_per_atom": 0,
  "cell": [[3.2327, 0.0000, 0.0000], [-1.6164, 2.7996, 0.0000], [0.0000, 0.0000, 13.5821]],
  "species": ["Zr", "Zr", "Al", "Al", "Au", "Au", "C", "C"],
  "fractional_positions": [[0.3333, 0.6667, 0.0000], [0.6667, 0.3333, 0.5000], [0.0000, 0.0000, 0.3291], [0.0000, 0.0000, 0.8291], [0.3333, 0.6667, 0.6712], [0.6667, 0.3333, 0.1712], [0.3333, 0.6667, 0.3995], [0.6667, 0.3333, 0.8995]]
}

=====

{
  "formula": "Zr2Al2Au3C",
  "functional": "PBE",
  "state": "relaxed",
  "energy_ev_per_atom": -5.590,
  "volume_a3_per_cell": 145.1,
  "cell": [[4.2085, 0.0000, 0.0000], [-2.1042, 3.6447, 0.0000], [0.0000, 0.0000, 9.4573]],
  "species": ["Zr", "Zr", "Al", "Al", "Au", "Au", "Au", "C"],
  "fractional_positions": [[0.0000, 0.0000, 0.0000], [0.3333, 0.6667, 0.5562], [0.6667, 0.3333, 0.2990], [0.6667, 0.3333, 0.7887], [0.0000, 0.0000, 0.3894], [0.0000, 0.0000, 0.6987], [0.3333, 0.6667, 0.2077], [0.3333, 0.6667, 0.9760]]
}

=====

{
  "formula": "Al2CdAu2",
  "functional": "PBE",
  "state": "relaxed",
  "energy_ev_per_atom": -3.088,
  "volume_a3_per_cell": 101.4,
  "cell": [[-2.1576, 2.1576, 5.4438], [2.1576, -2.1576, 5.4438], [2.1576, 2.1576, -5.4438]],
  "species": ["Al", "Al", "Cd", "Au", "Au"],
  "fractional_positions": [[0.1166, 0.1166, 0.0000], [0.8834, 0.8834, 0.0000], [0.5000, 0.5000, 0.0000], [0.2500, 0.7500, 0.5000], [0.7500, 0.2500, 0.5000]]
}

=====

{
  "formula": "Al2CdAu",
  "functional": "PBE",
  "state": "relaxed",
  "energy_ev_per_atom": -2.839,
  "volume_a3_per_cell": 75.1,
  "cell": [[0.0000, 3.3493, 3.3493], [3.3493, 0.0000, 3.3493], [3.3493, 3.3493, 0.0000]],
  "species": ["Al", "Al", "Cd", "Au"],
  "fractional_positions": [[0.0000, 0.0000, 0.0000], [0.2500, 0.2500, 0.2500], [0.5000, 0.5000, 0.5000], [0.7500, 0.7500, 0.7500]]
}

=====

{
  "formula": "AlCd2Au",
  "functional": "PBE",
  "state": "relaxed",
  "energy_ev_per_atom": -2.173,
  "volume_a3_per_cell": 78.2,
  "cell": [[0.0000, 3.3940, 3.3940], [3.3940, 0.0000, 3.3940], [3.3940, 3.3940, 0.0000]],
  "species": ["Al", "Cd", "Cd", "Au"],
  "fractional_positions": [[0.0000, 0.0000, 0.0000], [0.5000, 0.5000, 0.5000], [0.7500, 0.7500, 0.7500], [0.2500, 0.2500, 0.2500]]
}

=====

{
  "formula": "AlCdCuAu",
  "functional": "PBE",
  "state": "relaxed",
  "energy_ev_per_atom": -3.000,
  "volume_a3_per_cell": 66.2,
  "relative_energy_mev_per_atom": 0,
  "cell": [[0.0000, 3.2106, 3.2106], [3.2106, 0.0000, 3.2106], [3.2106, 3.2106, 0.0000]],
  "species": ["Al", "Cd", "Cu", "Au"],
  "fractional_positions": [[0.0000, 0.0000, 0.0000], [0.5000, 0.5000, 0.5000], [0.2500, 0.2500, 0.2500], [0.7500, 0.7500, 0.7500]]
}

=====

Q: Number 5 is which compound?
A: AlCd2Au